1.
Below is a geometry-optimized PSeBr2 structure, with properties calculated at the PBE-GGA level.

Output
energy relative to the lowest polymorph listed for this composition = 0.00 eV/f.u.
formation energy without anion corrections = -0.06 eV/atom

a b c (Å): 5.795 7.272 15.508
angles (deg): 90.70 90.00 90.00
Atoms (fractional coordinates):
1 P 0.500 0.748 0.169
2 P 0.500 0.252 0.831
3 P 0.000 0.752 0.331
4 P 0.000 0.248 0.669
5 Se 0.250 0.078 0.750
6 Se 0.250 0.578 0.250
7 Se 0.750 0.922 0.250
8 Se 0.750 0.422 0.750
9 Br 0.711 0.997 0.882
10 Br 0.789 0.990 0.618
11 Br 0.789 0.497 0.382
12 Br 0.211 0.503 0.618
13 Br 0.289 0.510 0.882
14 Br 0.211 0.010 0.382
15 Br 0.711 0.490 0.118
16 Br 0.289 0.003 0.118

---

2.
Below is a geometry-optimized TaTl2SeO6 structure, with properties calculated at the PBE-GGA level.

Output
formation energy without anion corrections = -1.21 eV/atom

a b c (Å): 5.768 5.768 5.769
angles (deg): 59.99 59.99 89.98
Atoms (fractional coordinates):
1 O 0.246 0.247 0.000
2 O 0.754 0.754 0.492
3 O 0.246 0.246 0.508
4 O 0.247 0.754 0.000
5 O 0.754 0.753 0.000
6 O 0.753 0.246 0.000
7 Tl 0.750 0.250 0.500
8 Tl 0.250 0.750 0.500
9 Se 0.500 0.500 0.000
10 Ta 0.000 0.000 0.000

---

3.
Below is a geometry-optimized NiHgRh2 structure, with properties calculated at the PBE-GGA level.

Output
E_form = 0.25 eV per atom

a b c (Å): 3.925 3.919 3.919
angles (deg): 90.00 90.00 90.00
Atoms (fractional coordinates):
1 Rh 0.000 0.500 0.500
2 Rh 0.000 0.000 0.000
3 Hg 0.500 0.500 0.000
4 Ni 0.500 0.000 0.500

---

4.
Below is a geometry-optimized BeReF structure, with properties calculated at the PBE-GGA level.

Output
energy relative to the lowest polymorph listed for this composition = 0.00 eV/f.u.
formation energy without anion corrections = -1.07 eV/atom

a b c (Å): 2.573 2.573 13.970
angles (deg): 88.86 85.30 70.60
Atoms (fractional coordinates):
1 Re 0.348 0.929 0.203
2 Re 0.476 0.917 0.925
3 F 0.256 0.414 0.501
4 F 0.695 0.920 0.633
5 Be 0.726 0.416 0.567
6 Be 0.045 0.554 0.064

---

5.
Below is a geometry-optimized TlI structure, with properties calculated at the PBE-GGA level.

Output
energy relative to the lowest polymorph listed for this composition = 0.02 eV/f.u.
formation energy without anion corrections = -0.65 eV/atom

a b c (Å): 4.896 8.627 8.477
angles (deg): 90.00 90.00 90.00
Atoms (fractional coordinates):
1 Tl 0.750 0.000 0.751
2 Tl 0.750 0.500 0.749
3 Tl 0.250 0.500 0.251
4 Tl 0.250 0.000 0.249
5 I 0.250 0.751 0.583
6 I 0.250 0.251 0.917
7 I 0.750 0.249 0.417
8 I 0.750 0.749 0.083

---

6.
Below is a geometry-optimized UTaRu2 structure, with properties calculated at the PBE-GGA level.

Output
E_form = -0.29 eV per atom

a b c (Å): 3.076 3.076 7.290
angles (deg): 90.00 90.00 90.00
Site moments in Bohr magnetons follow the coordinates.
Atoms (fractional coordinates):
1 Ta 0.500 0.500 0.000  0.01
2 Ru 0.000 0.000 0.220  -0.08
3 Ru 0.000 0.000 0.780  -0.08
4 U 0.500 0.500 0.500  0.72

---

7.
Below is a geometry-optimized Al2InBr structure, with properties calculated at the PBE-GGA level.

Output
energy relative to the lowest polymorph listed for this composition = 0.41 eV/f.u.
formation energy without anion corrections = 0.13 eV/atom

a b c (Å): 5.387 5.387 3.210
angles (deg): 90.00 90.00 90.00
Atoms (fractional coordinates):
1 Al 0.500 0.500 0.000
2 Al 0.000 0.000 0.000
3 Br 0.500 0.000 0.500
4 In 0.000 0.500 0.500

---

8.
Below is a geometry-optimized RbCr2P structure, with properties calculated at the PBE-GGA level.

Output
E_form = 0.53 eV per atom

a b c (Å): 5.899 5.899 8.609
angles (deg): 69.96 69.96 90.00
Site moments in Bohr magnetons follow the coordinates.
Atoms (fractional coordinates):
1 Rb 0.750 0.250 0.500  0.04
2 Rb 0.000 0.000 0.000  0.04
3 P 0.500 0.500 0.000  -0.13
4 P 0.250 0.750 0.500  -0.13
5 Cr 0.375 0.625 0.750  3.86
6 Cr 0.375 0.125 0.250  3.79
7 Cr 0.875 0.625 0.750  3.85
8 Cr 0.375 0.625 0.250  3.79